A relaxed Cs2BaNp3S8 crystal. Source: Alexandria, functional PBE.

Total magnetization, μB per atom: 0.64
Formation energy without anion corrections, eV per atom: -1.352

Unit cell a=8.2871 b=8.2871 c=24.1077 alpha=90.00 beta=90.00 gamma=120.00
Space group R3m (No. 160, hexagonal axes)
Symmetry-distinct sites (fractional):
Cs 0.0000 0.0000 0.0000 [3 per cell]
Cs 0.0000 0.0000 0.3622 [3 per cell]
Ba 0.0000 0.0000 0.7472 [3 per cell]
Np 0.0016 0.5008 0.8649 [9 per cell]
S 0.0000 0.0000 0.1404 [3 per cell]
S 0.0000 0.0000 0.5938 [3 per cell]
S 0.0340 0.5170 0.1383 [9 per cell]
S 0.1840 0.3679 0.9198 [9 per cell]

A relaxed CsBa2Np3S8 crystal. Source: Alexandria, functional PBE.

Total magnetization, μB per atom: 0.71
Formation energy without anion corrections, eV per atom: -1.492

Unit cell a=8.4041 b=8.4041 c=22.6742 alpha=90.00 beta=90.00 gamma=120.00
Space group R3m (No. 160, hexagonal axes)
Symmetry-distinct sites (fractional):
Cs 0.0000 0.0000 0.0000 [3 per cell]
Ba 0.0000 0.0000 0.2586 [3 per cell]
Ba 0.0000 0.0000 0.6355 [3 per cell]
Np 0.1678 0.3356 0.4667 [9 per cell]
S 0.0000 0.0000 0.4024 [3 per cell]
S 0.0000 0.0000 0.8581 [3 per cell]
S 0.0440 0.5220 0.4050 [9 per cell]
S 0.1854 0.3708 0.2001 [9 per cell]

A relaxed Cs3Ba2NpS6 crystal. Source: Alexandria, functional PBE.

Total magnetization, μB per atom: 0.17
Formation energy without anion corrections, eV per atom: -1.527

Unit cell a=7.766 b=13.418 c=8.418 alpha=90.00 beta=107.91 gamma=90.00
Space group C2/m (No. 12)
Symmetry-distinct sites (fractional):
Cs 0.000 0.000 0.000 [2 per cell]
Cs 0.000 0.330 0.000 [4 per cell]
Ba 0.000 0.166 0.500 [4 per cell]
Np 0.000 0.500 0.500 [2 per cell]
S 0.205 0.358 0.688 [8 per cell]
S 0.219 0.500 0.310 [4 per cell]

A relaxed Cs2BaNp3Se8 crystal. Source: Alexandria, functional PBE.

Total magnetization, μB per atom: 0.64
Formation energy without anion corrections, eV per atom: -1.200

Unit cell a=8.6385 b=8.6385 c=25.0063 alpha=90.00 beta=90.00 gamma=120.00
Space group R3m (No. 160, hexagonal axes)
Symmetry-distinct sites (fractional):
Cs 0.0000 0.0000 0.0000 [3 per cell]
Cs 0.0000 0.0000 0.3611 [3 per cell]
Ba 0.0000 0.0000 0.7404 [3 per cell]
Np 0.0013 0.5007 0.8635 [9 per cell]
Se 0.0000 0.0000 0.1379 [3 per cell]
Se 0.0000 0.0000 0.5946 [3 per cell]
Se 0.0292 0.5146 0.1356 [9 per cell]
Se 0.1823 0.3647 0.9200 [9 per cell]

What is the total magnetization in the second record?
0.71 μB per atom